# 1
AcNpP2Rh5 | PBE | optimized geometry

The structure in extended XYZ format:
```
9
Lattice="4.109 0.000 0.000 0.000 4.109 0.000 0.000 0.000 10.667" Properties=species:S:1:pos:R:3 pbc="T T T"
Ac 0.000 0.000 0.000
Np 2.055 2.055 5.333
P 2.055 2.055 2.289
P 2.055 2.055 8.378
Rh 0.000 2.055 3.336
Rh 0.000 2.055 7.331
Rh 2.055 0.000 3.336
Rh 2.055 0.000 7.331
Rh 2.055 2.055 0.000
```

## Properties
Formation enthalpy at 0 K   -0.537 eV per atom
Space-group type   P4/mmm

# 2
AcNpP2S8 | PBE | optimized geometry

The structure in extended XYZ format:
```
12
Lattice="6.727 0.000 0.000 -3.363 5.826 0.000 0.000 0.000 8.600" Properties=species:S:1:pos:R:3 pbc="T T T"
Ac 0.000 0.000 0.000
Np 0.000 0.000 4.300
P 0.000 3.884 1.686
P 3.363 1.942 6.914
S 0.000 1.939 2.418
S -1.684 4.856 2.418
S 1.679 0.970 6.181
S 0.000 3.884 8.299
S 3.363 1.942 0.300
S 1.684 4.856 2.418
S 5.047 0.970 6.181
S 3.363 3.886 6.181
```

## Properties
E_form (uncorrected)   -719 meV/atom
Space-group type   P-3m1

# 3
Sr3Ac2NpP6 | PBE | optimized geometry

The structure in extended XYZ format:
```
12
Lattice="3.755 -6.495 0.000 3.755 6.495 0.000 -2.532 0.000 7.040" Properties=species:S:1:pos:R:3 pbc="T T T"
Sr 0.000 0.000 0.000
Sr 3.755 2.191 0.000
Sr 3.755 -2.191 0.000
Ac 2.489 4.332 3.520
Ac 2.489 -4.332 3.520
Np 2.489 0.000 3.520
P 1.371 1.948 1.928
P 0.261 0.000 5.072
P 1.371 -1.948 1.928
P 3.608 1.948 5.111
P 4.717 0.000 1.968
P 3.608 -1.948 5.111
```

## Properties
Formation enthalpy at 0 K   -1.110 eV per atom
Space-group type   C2/m

# 4
AcNpPa2S8 | PBE | optimized geometry

The structure in extended XYZ format:
```
12
Lattice="6.298 0.000 0.000 0.000 8.491 0.000 -0.149 0.000 6.385" Properties=species:S:1:pos:R:3 pbc="T T T"
Ac 0.000 0.000 0.000
Np 0.000 4.246 0.000
Pa 3.074 2.160 3.193
Pa 3.074 6.331 3.193
S 1.508 2.270 1.086
S 1.508 6.221 1.086
S 1.700 4.246 4.223
S 1.714 0.000 4.066
S 4.435 0.000 2.319
S 4.449 4.246 2.162
S 4.641 2.270 5.299
S 4.641 6.221 5.299
```

## Properties
E_form (uncorrected)   -1561 meV/atom
Space-group type   P2/m

# 5
AcNpPb2 | PBE | optimized geometry

The structure in extended XYZ format:
```
4
Lattice="1.781 1.028 12.396 -1.781 1.028 12.396 0.000 -2.057 12.396" Properties=species:S:1:pos:R:3 pbc="T T T"
Ac 0.000 0.000 0.000
Np 0.000 0.000 18.594
Pb 0.000 0.000 3.425
Pb 0.000 0.000 33.762
```

## Properties
Formation enthalpy at 0 K   0.337 eV per atom
Space-group type   R-3m

# 6
Ac2NpPbS6 | PBE | optimized geometry

The structure in extended XYZ format:
```
10
Lattice="3.699 2.135 6.340 -3.699 2.135 6.340 0.000 -4.271 6.340" Properties=species:S:1:pos:R:3 pbc="T T T"
Ac 0.000 0.000 0.000
Ac 0.000 0.000 9.365
Np 0.000 0.000 13.365
Pb 0.000 0.000 4.019
S -1.363 -2.450 8.354
S -2.059 0.071 11.607
S -1.440 2.406 8.354
S 0.968 -1.819 11.607
S 2.803 0.044 8.354
S 1.091 1.748 11.607
```

## Properties
E_form (uncorrected)   -1529 meV/atom
Space-group type   R3

# 7
AcNpPb2S6 | PBE | optimized geometry

The structure in extended XYZ format:
```
10
Lattice="3.661 2.114 6.313 -3.661 2.114 6.313 0.000 -4.227 6.313" Properties=species:S:1:pos:R:3 pbc="T T T"
Ac 0.000 0.000 0.000
Np 0.000 0.000 9.334
Pb 0.000 0.000 5.496
Pb 0.000 0.000 15.076
S -2.040 0.069 7.662
S -1.379 -1.777 10.693
S 0.960 -1.801 7.662
S -0.850 2.083 10.693
S 1.080 1.732 7.662
S 2.229 -0.305 10.693
```

## Properties
E_form (uncorrected)   -1085 meV/atom
Space-group type   R3

# 8
AcNpPd2 | PBE | optimized geometry

The structure in extended XYZ format:
```
4
Lattice="1.834 1.059 9.616 -1.834 1.059 9.616 0.000 -2.118 9.616" Properties=species:S:1:pos:R:3 pbc="T T T"
Ac 0.000 0.000 0.000
Np 0.000 0.000 14.423
Pd 0.000 0.000 2.937
Pd 0.000 0.000 25.910
```

## Properties
Formation enthalpy at 0 K   0.228 eV per atom
Space-group type   R-3m

# 9
AcNpPd | PBE | optimized geometry

The structure in extended XYZ format:
```
6
Lattice="3.530 0.000 0.000 0.000 3.620 0.000 -0.010 -0.920 12.114" Properties=species:S:1:pos:R:3 pbc="T T T"
Ac 0.880 0.427 4.380
Ac 2.640 2.274 7.734
Np 0.883 0.504 0.657
Np 2.637 2.196 11.457
Pd 0.874 0.457 9.680
Pd 2.646 2.244 2.434
```

## Properties
Formation enthalpy at 0 K   -0.182 eV per atom
Space-group type   P-1

# 10
Ac2Np2Pd15 | PBE | optimized geometry

The structure in extended XYZ format:
```
19
Lattice="4.666 2.694 4.713 -4.666 2.694 4.713 0.000 -5.388 4.713" Properties=species:S:1:pos:R:3 pbc="T T T"
Ac 0.000 0.000 2.096
Ac 0.000 0.000 12.042
Np 0.000 0.000 5.916
Np 0.000 0.000 8.222
Pd -2.333 -1.347 4.713
Pd 0.000 -2.674 4.592
Pd -2.315 1.337 4.592
Pd -1.455 -2.520 7.069
Pd -2.910 0.000 7.069
Pd -2.315 -1.337 9.546
Pd -2.333 1.347 9.425
Pd 1.455 -2.520 7.069
Pd 0.000 2.694 4.713
Pd -1.455 2.520 7.069
Pd 2.315 1.337 4.592
Pd 2.910 0.000 7.069
Pd 1.455 2.520 7.069
Pd 2.315 -1.337 9.546
Pd 0.000 2.674 9.546
```

## Properties
Formation enthalpy at 0 K   -0.463 eV per atom
Space-group type   R-3m

# 11
Ac2NpPd12Pt3 | PBE | optimized geometry

The structure in extended XYZ format:
```
18
Lattice="4.623 2.669 4.587 -4.623 2.669 4.587 0.000 -5.339 4.587" Properties=species:S:1:pos:R:3 pbc="T T T"
Ac 0.000 0.000 2.940
Ac 0.000 0.000 10.822
Np 0.000 0.000 6.881
Pd 0.000 -2.898 3.716
Pd -2.510 1.449 3.716
Pd -2.222 -1.283 7.425
Pd 0.000 -2.566 6.336
Pd -2.222 1.283 6.336
Pd -2.510 -1.449 10.046
Pd 2.510 1.449 3.716
Pd 2.222 -1.283 7.425
Pd 0.000 2.566 7.425
Pd 2.222 1.283 6.336
Pd 2.510 -1.449 10.046
Pd 0.000 2.898 10.046
Pt -2.312 -1.335 4.587
Pt -2.312 1.335 9.174
Pt 0.000 2.669 4.587
```

## Properties
Formation enthalpy at 0 K   -0.342 eV per atom
Space-group type   R-3m

# 12
AcNp4Pd3S12 | PBE | optimized geometry

The structure in extended XYZ format:
```
20
Lattice="-4.867 4.867 4.867 4.867 -4.867 4.867 4.867 4.867 -4.867" Properties=species:S:1:pos:R:3 pbc="T T T"
Ac 0.000 0.000 0.000
Np 2.434 2.434 -2.434
Np 2.434 -2.434 2.434
Np -2.434 2.434 2.434
Np 2.434 2.434 2.434
Pd 4.867 0.000 0.000
Pd 0.000 4.867 0.000
Pd 0.000 0.000 4.867
S 4.867 3.357 -1.880
S 2.987 0.000 1.510
S 6.747 0.000 1.510
S 1.510 2.987 0.000
S 3.357 -1.880 4.867
S 0.000 1.510 2.987
S 4.867 3.357 1.880
S 1.510 6.747 0.000
S 3.357 1.880 4.867
S -1.880 4.867 3.357
S 1.880 4.867 3.357
S 0.000 1.510 6.747
```

## Properties
E_form (uncorrected)   -1024 meV/atom
Space-group type   Im-3

# 13
Ac2NpPd2S6 | PBE | optimized geometry

The structure in extended XYZ format:
```
11
Lattice="3.610 2.084 5.951 -3.610 2.084 5.951 0.000 -4.169 5.951" Properties=species:S:1:pos:R:3 pbc="T T T"
Ac 0.000 0.000 4.046
Ac 0.000 0.000 13.806
Np 0.000 0.000 0.000
Pd 0.000 0.000 7.039
Pd 0.000 0.000 10.814
S -1.951 -1.127 10.223
S 0.000 -2.253 7.630
S -1.951 1.127 7.630
S 1.951 -1.127 10.223
S 0.000 2.253 10.223
S 1.951 1.127 7.630
```

## Properties
E_form (uncorrected)   -1122 meV/atom
Space-group type   R-3m

# 14
AcNp3Pd4S12 | PBE | optimized geometry

The structure in extended XYZ format:
```
20
Lattice="6.676 3.854 3.330 -6.676 3.854 3.330 0.000 -7.709 3.330" Properties=species:S:1:pos:R:3 pbc="T T T"
Ac 0.000 0.000 0.000
Np -3.800 -1.128 3.330
Np -3.800 1.128 6.661
Np 0.923 3.854 3.330
Pd -2.740 -4.746 4.995
Pd 0.000 0.000 4.995
Pd -2.740 4.746 4.995
Pd 5.481 0.000 4.995
S -4.400 -3.174 4.786
S -5.532 0.000 4.995
S -0.548 -5.397 5.205
S -4.400 3.174 5.205
S -2.257 0.000 4.995
S 2.766 -4.791 4.995
S 1.129 -1.955 4.995
S 1.129 1.955 4.995
S -0.548 5.397 4.786
S 4.948 -2.224 4.786
S 2.766 4.791 4.995
S 4.948 2.224 5.205
```

## Properties
E_form (uncorrected)   -697 meV/atom
Space-group type   R32

# 15
Ac2NpPdS6 | PBE | optimized geometry

The structure in extended XYZ format:
```
10
Lattice="6.383 -3.333 0.000 6.383 3.333 0.000 -3.508 0.000 5.993" Properties=species:S:1:pos:R:3 pbc="T T T"
Ac 2.333 0.000 1.260
Ac 6.926 0.000 4.733
Np -1.754 0.000 2.997
Pd 6.383 0.000 0.000
S 4.926 1.584 1.020
S 0.748 0.000 3.711
S 4.332 1.584 4.973
S 4.926 -1.584 1.020
S 8.510 0.000 2.282
S 4.332 -1.584 4.973
```

## Properties
E_form (uncorrected)   -1449 meV/atom
Space-group type   C2/m

# 16
Ac2NpSb3Pd4 | PBE | optimized geometry

The structure in extended XYZ format:
```
10
Lattice="4.653 0.000 0.000 0.000 4.653 0.000 0.000 0.000 11.428" Properties=species:S:1:pos:R:3 pbc="T T T"
Ac 0.000 2.327 2.541
Ac 2.327 0.000 8.887
Np 0.000 0.000 5.714
Sb 0.000 2.327 10.000
Sb 2.327 0.000 1.428
Sb 2.327 2.327 5.714
Pd 0.000 0.000 0.000
Pd 0.000 2.327 7.356
Pd 2.327 0.000 4.072
Pd 2.327 2.327 0.000
```

## Properties
E_form (uncorrected)   -762 meV/atom
Space-group type   P-4m2

# 17
AcNpSbPd | PBE | optimized geometry

The structure in extended XYZ format:
```
4
Lattice="0.000 3.722 3.722 3.722 0.000 3.722 3.722 3.722 0.000" Properties=species:S:1:pos:R:3 pbc="T T T"
Ac 0.000 0.000 0.000
Np 1.861 1.861 1.861
Sb 3.722 3.722 3.722
Pd 5.582 5.582 5.582
```

## Properties
E_form (uncorrected)   32 meV/atom
Space-group type   F-43m

# 18
Ac2NpTe5Pd | PBE | optimized geometry

The structure in extended XYZ format:
```
18
Lattice="2.218 -9.608 0.000 2.218 9.608 0.000 0.000 0.000 13.620" Properties=species:S:1:pos:R:3 pbc="T T T"
Ac 2.218 7.499 6.810
Ac 2.218 7.236 11.668
Ac 2.218 -7.236 4.858
Ac 2.218 -7.499 0.000
Np 2.218 6.212 2.401
Np 2.218 -6.212 9.211
Te 2.218 9.225 2.381
Te 2.218 3.826 7.039
Te 2.218 3.696 11.410
Te 2.218 3.059 2.376
Te 2.218 -0.008 5.459
Te 2.218 0.008 12.269
Te 2.218 -3.059 9.186
Te 2.218 -3.696 4.600
Te 2.218 -3.826 0.229
Te 2.218 -9.225 9.191
Pd 2.218 1.227 7.874
Pd 2.218 -1.227 1.064
```

## Properties
E_form (uncorrected)   -1122 meV/atom
Space-group type   Cmc2_1

# 19
AcNpPt10 | PBE | optimized geometry

The structure in extended XYZ format:
```
12
Lattice="4.437 0.000 0.000 0.000 5.450 0.000 0.000 0.000 9.432" Properties=species:S:1:pos:R:3 pbc="T T T"
Ac 0.000 0.000 0.000
Np 0.000 2.725 4.716
Pt 0.000 0.000 3.204
Pt 0.000 0.000 6.227
Pt 0.000 2.725 1.661
Pt 0.000 2.725 7.771
Pt 2.219 0.000 4.716
Pt 2.219 1.377 2.405
Pt 2.219 1.377 7.026
Pt 2.219 2.725 0.000
Pt 2.219 4.073 2.405
Pt 2.219 4.073 7.026
```

## Properties
Formation enthalpy at 0 K   -0.597 eV per atom
Space-group type   Pmmm

# 20
Ac2Np2Pt15 | PBE | optimized geometry

The structure in extended XYZ format:
```
19
Lattice="4.720 2.725 4.617 -4.720 2.725 4.617 0.000 -5.450 4.617" Properties=species:S:1:pos:R:3 pbc="T T T"
Ac 0.000 0.000 2.073
Ac 0.000 0.000 11.777
Np 0.000 0.000 5.776
Np 0.000 0.000 8.074
Pt -2.360 -1.363 4.617
Pt 0.000 -2.706 4.502
Pt -2.343 1.353 4.502
Pt -1.478 -2.560 6.925
Pt -2.955 0.000 6.925
Pt -2.343 -1.353 9.349
Pt -2.360 1.363 9.234
Pt 1.478 -2.560 6.925
Pt 0.000 2.725 4.617
Pt -1.478 2.560 6.925
Pt 2.343 1.353 4.502
Pt 2.955 0.000 6.925
Pt 1.478 2.560 6.925
Pt 2.343 -1.353 9.349
Pt 0.000 2.706 9.349
```

## Properties
Formation enthalpy at 0 K   -0.630 eV per atom
Space-group type   R-3m